Record 1
VASP calculation (PBE) on crystalline Ce6TmO12 at its relaxed geometry.

## Properties
**Space group**: R-3, No. 148
**ΔE_f (raw)**: -3501 meV per atom

a = 6.7273 Å, b = 6.7273 Å, c = 6.7273 Å
α = 99.41°, β = 99.41°, γ = 99.41°
Fractional coordinates of all 19 atoms:
Ce 0.1012 0.6355 0.7949
Ce 0.2051 0.8988 0.3645
Ce 0.3645 0.2051 0.8988
Ce 0.6355 0.7949 0.1012
Ce 0.7949 0.1012 0.6355
Ce 0.8988 0.3645 0.2051
Tm 0.5000 0.5000 0.5000
O 0.0671 0.3228 0.9160
O 0.0840 0.9329 0.6772
O 0.1823 0.5662 0.4295
O 0.3228 0.9160 0.0671
O 0.4295 0.1823 0.5662
O 0.4338 0.5705 0.8177
O 0.5662 0.4295 0.1823
O 0.5705 0.8177 0.4338
O 0.6772 0.0840 0.9329
O 0.8177 0.4338 0.5705
O 0.9160 0.0671 0.3228
O 0.9329 0.6772 0.0840

Record 2
VASP calculation (PBE) on crystalline SrEr2Pd at its relaxed geometry.

## Properties
**Space group**: P4/mmm, No. 123
**DFT total energy**: -4.33 eV/atom

a = 3.5656 Å, b = 3.5656 Å, c = 9.5560 Å
α = 90.00°, β = 90.00°, γ = 90.00°
Fractional coordinates of all 4 atoms:
Sr 0.0000 0.0000 0.0000
Er 0.5000 0.5000 0.3286
Er 0.5000 0.5000 0.6714
Pd 0.0000 0.0000 0.5000

Record 3
VASP calculation (PBE) on crystalline Tb2Tl4S5 at its relaxed geometry.

## Properties
**Space group**: R-3m, No. 166
**ΔE_f (raw)**: -977 meV per atom

a = 24.6235 Å, b = 24.6235 Å, c = 24.6235 Å
α = 9.51°, β = 9.51°, γ = 9.51°
Fractional coordinates of all 11 atoms:
Tb 0.1427 0.1427 0.1427
Tb 0.8573 0.8573 0.8573
Tl 0.3113 0.3113 0.3113
Tl 0.4111 0.4111 0.4111
Tl 0.5889 0.5889 0.5889
Tl 0.6887 0.6887 0.6887
S 0.2074 0.2074 0.2074
S 0.3762 0.3762 0.3762
S 0.5000 0.5000 0.5000
S 0.6238 0.6238 0.6238
S 0.7926 0.7926 0.7926

no.,M_tot (μB per formula unit),DOS(E_F) (states/eV/cell)
1,3.15,24.06
2,0.00,5.34
3,0.00,2.74